Record 1
A relaxed KBaHf2 crystal, computed with GGA-PBE. Values from VASP.

Cell and atoms, written as Quantum ESPRESSO input:
```
&SYSTEM
  ibrav = 0, nat = 4, ntyp = 3
/
ATOMIC_SPECIES
K 39.10 K.upf
Ba 137.33 Ba.upf
Hf 178.49 Hf.upf
CELL_PARAMETERS angstrom
0.000 4.033 4.033
4.033 0.000 4.033
4.033 4.033 0.000
ATOMIC_POSITIONS angstrom
K 0.000 0.000 0.000
Ba 4.033 4.033 4.033
Hf 2.016 2.016 2.016
Hf 6.049 6.049 6.049
```

As for the formation energy: 5.71 eV per formula unit. Its total magnetic moment is 0.000 μB/atom. Its density of states at the Fermi level is 8.6 states/eV/f.u. As for the symmetry: No. 225. As for the final energy: -4.305 eV per atom. The energy above the lowest structure with this stoichiometry comes out at 238 meV per atom.

Record 2
A relaxed Ta2MnTl2S6 crystal, computed with GGA-PBE. Values from VASP.

Cell and atoms, written as Quantum ESPRESSO input:
```
&SYSTEM
  ibrav = 0, nat = 11, ntyp = 4
/
ATOMIC_SPECIES
Ta 180.95 Ta.upf
Mn 54.94 Mn.upf
Tl 204.38 Tl.upf
S 32.06 S.upf
CELL_PARAMETERS angstrom
2.891 -5.185 0.000
2.891 5.185 0.000
-1.738 0.000 8.201
ATOMIC_POSITIONS angstrom
Ta 2.891 3.712 0.000
Ta 2.891 -3.712 0.000
Mn 2.891 0.000 0.000
Tl 2.022 1.765 4.100
Tl 2.022 -1.765 4.100
S 0.265 1.706 6.818
S 1.101 0.000 1.589
S 0.265 -1.706 6.818
S 3.780 1.706 1.383
S 2.944 0.000 6.611
S 3.780 -1.706 1.383
```

Its total magnetic moment is 0.113 μB/atom. For the formation energy without anion corrections, the calculation gives -0.7128 eV/atom. Its density of states at the Fermi level is 4.5 states/eV/f.u. As for the symmetry: No. 12. As for the final energy: -6.383 eV per atom.

Record 3
A relaxed BaZrAg2 crystal, computed with GGA-PBE. Values from VASP.

Cell and atoms, written as Quantum ESPRESSO input:
```
&SYSTEM
  ibrav = 0, nat = 4, ntyp = 3
/
ATOMIC_SPECIES
Ba 137.33 Ba.upf
Zr 91.22 Zr.upf
Ag 107.87 Ag.upf
CELL_PARAMETERS angstrom
0.000 3.631 3.631
3.631 0.000 3.631
3.631 3.631 0.000
ATOMIC_POSITIONS angstrom
Ba 0.000 0.000 0.000
Zr 1.816 1.816 1.816
Ag 3.631 3.631 3.631
Ag 5.447 5.447 5.447
```

As for the formation energy: 1.67 eV per formula unit. Its total magnetic moment is 0.000 μB/atom. Its density of states at the Fermi level is 1.6 states/eV/f.u. As for the symmetry: No. 216. As for the final energy: -3.625 eV per atom. The energy above the lowest structure with this stoichiometry comes out at 408 meV per atom.

Record 4
A relaxed BaAsPb crystal, computed with GGA-PBE. Values from VASP.

Cell and atoms, written as Quantum ESPRESSO input:
```
&SYSTEM
  ibrav = 0, nat = 3, ntyp = 3
/
ATOMIC_SPECIES
Ba 137.33 Ba.upf
As 74.92 As.upf
Pb 207.20 Pb.upf
CELL_PARAMETERS angstrom
0.000 3.862 3.862
3.862 0.000 3.862
3.862 3.862 0.000
ATOMIC_POSITIONS angstrom
Ba 0.000 0.000 0.000
As 5.793 5.793 5.793
Pb 1.931 1.931 1.931
```

As for the formation energy: -0.07 eV per formula unit. Its total magnetic moment is 0.004 μB/atom. Its density of states at the Fermi level is 3.8 states/eV/f.u. As for the symmetry: No. 216. As for the final energy: -3.449 eV per atom. The energy above the lowest structure with this stoichiometry comes out at 681 meV per atom.

Record 5
A relaxed GdYCl crystal, computed with GGA-PBE. Values from VASP.

Cell and atoms, written as Quantum ESPRESSO input:
```
&SYSTEM
  ibrav = 0, nat = 3, ntyp = 3
/
ATOMIC_SPECIES
Gd 157.25 Gd.upf
Y 88.91 Y.upf
Cl 35.45 Cl.upf
CELL_PARAMETERS angstrom
3.706 0.000 0.000
-1.853 3.209 0.000
0.000 0.000 6.972
ATOMIC_POSITIONS angstrom
Gd 0.000 0.000 0.000
Y 1.853 1.070 2.678
Cl 0.000 2.140 4.783
```

Its total magnetic moment is 2.517 μB/atom. For the formation energy without anion corrections, the calculation gives -0.9245 eV/atom. Its density of states at the Fermi level is 3.2 states/eV/f.u. As for the symmetry: No. 156. As for the final energy: -8.388 eV per atom.

Record 6
A relaxed Sn4SbAu2 crystal, computed with GGA-PBE. Values from VASP.

Cell and atoms, written as Quantum ESPRESSO input:
```
&SYSTEM
  ibrav = 0, nat = 14, ntyp = 3
/
ATOMIC_SPECIES
Sn 118.71 Sn.upf
Sb 121.76 Sb.upf
Au 196.97 Au.upf
CELL_PARAMETERS angstrom
0.000 6.287 4.500
6.274 0.000 4.500
6.274 6.287 0.000
ATOMIC_POSITIONS angstrom
Sn 6.832 1.530 4.500
Sn 3.695 1.613 2.250
Sn 7.800 5.722 3.264
Sn 2.579 4.674 2.250
Sn 4.748 6.852 3.264
Sn 4.663 3.708 5.514
Sn 7.885 8.865 5.514
Sn 5.716 11.044 4.500
Sb 6.274 6.287 6.131
Sb 9.411 9.430 8.381
Au 5.603 3.813 2.756
Au 10.082 6.957 5.006
Au 6.945 8.761 2.756
Au 2.466 5.617 5.006
```

Its total magnetic moment is 0.000 μB/atom. For the formation energy without anion corrections, the calculation gives -0.0298 eV/atom. Its density of states at the Fermi level is 4.3 states/eV/f.u. As for the symmetry: No. 43. As for the final energy: -3.842 eV per atom.

Record 7
A relaxed Tb2Ge3Pt5 crystal, computed with GGA-PBE. Values from VASP.

Cell and atoms, written as Quantum ESPRESSO input:
```
&SYSTEM
  ibrav = 0, nat = 20, ntyp = 3
/
ATOMIC_SPECIES
Tb 158.93 Tb.upf
Ge 72.64 Ge.upf
Pt 195.08 Pt.upf
CELL_PARAMETERS angstrom
-5.676 5.733 2.864
5.676 -5.733 2.864
5.676 5.733 -2.864
ATOMIC_POSITIONS angstrom
Tb 2.597 1.543 0.000
Tb 2.597 -1.543 2.864
Tb 3.079 7.276 0.000
Tb 3.079 4.190 2.864
Ge 4.278 -4.183 2.864
Ge 5.676 0.000 1.432
Ge 4.278 4.183 0.000
Ge 1.398 1.550 2.864
Ge 0.000 5.733 1.432
Ge 1.398 9.916 0.000
Pt 5.676 -2.692 1.432
Pt 7.575 1.149 0.000
Pt 0.000 0.000 1.432
Pt 1.899 4.584 0.000
Pt 5.676 2.692 1.432
Pt 0.000 3.041 1.432
Pt 3.777 1.149 2.864
Pt 0.000 0.000 4.296
Pt -1.899 4.584 2.864
Pt 0.000 8.425 1.432
```

As for the formation energy: -8.90 eV per formula unit. Its total magnetic moment is 0.000 μB/atom. Its density of states at the Fermi level is 5.2 states/eV/f.u. As for the symmetry: No. 72. As for the final energy: -6.221 eV per atom. The energy above the lowest structure with this stoichiometry comes out at 0 meV per atom.

Record 8
A relaxed ScAsRu2 crystal, computed with GGA-PBE. Values from VASP.

Cell and atoms, written as Quantum ESPRESSO input:
```
&SYSTEM
  ibrav = 0, nat = 4, ntyp = 3
/
ATOMIC_SPECIES
Sc 44.96 Sc.upf
As 74.92 As.upf
Ru 101.07 Ru.upf
CELL_PARAMETERS angstrom
3.021 0.000 0.000
0.000 4.463 0.000
-1.253 0.000 4.684
ATOMIC_POSITIONS angstrom
Sc 0.000 0.000 0.000
As 1.384 2.231 1.131
Ru -0.136 2.231 3.230
Ru 1.264 0.000 2.279
```

As for the formation energy: -1.49 eV per formula unit. Its total magnetic moment is 0.000 μB/atom. Its density of states at the Fermi level is 1.9 states/eV/f.u. As for the symmetry: No. 6. As for the final energy: -7.755 eV per atom.

Record 9
A relaxed Tl2PRh crystal, computed with GGA-PBE. Values from VASP.

Cell and atoms, written as Quantum ESPRESSO input:
```
&SYSTEM
  ibrav = 0, nat = 4, ntyp = 3
/
ATOMIC_SPECIES
Tl 204.38 Tl.upf
P 30.97 P.upf
Rh 102.91 Rh.upf
CELL_PARAMETERS angstrom
3.841 0.000 0.000
0.000 4.288 0.000
0.000 0.000 4.915
ATOMIC_POSITIONS angstrom
Tl 0.000 0.000 0.000
Tl 0.000 2.144 2.457
P 1.920 0.000 2.457
Rh 1.920 2.144 0.000
```

As for the formation energy: 1.79 eV per formula unit. Its total magnetic moment is 0.000 μB/atom. Its density of states at the Fermi level is 2.6 states/eV/f.u. As for the symmetry: No. 47. As for the final energy: -3.925 eV per atom. The energy above the lowest structure with this stoichiometry comes out at 606 meV per atom.

Record 10
A relaxed Tl2CdI4 crystal, computed with GGA-PBE. Values from VASP.

Cell and atoms, written as Quantum ESPRESSO input:
```
&SYSTEM
  ibrav = 0, nat = 7, ntyp = 3
/
ATOMIC_SPECIES
Tl 204.38 Tl.upf
Cd 112.41 Cd.upf
I 126.90 I.upf
CELL_PARAMETERS angstrom
7.756 -2.282 0.000
7.756 2.282 0.000
-4.560 0.000 8.232
ATOMIC_POSITIONS angstrom
Tl 2.251 0.000 1.424
Tl 8.701 0.000 6.808
Cd 5.476 0.000 4.116
I -0.214 0.000 4.251
I 5.704 0.000 1.125
I 5.248 0.000 7.106
I 11.166 0.000 3.980
```

Its total magnetic moment is 0.000 μB/atom. For the formation energy without anion corrections, the calculation gives -0.5868 eV/atom. Its density of states at the Fermi level is 0.0 states/eV/f.u. As for the symmetry: No. 12. As for the final energy: -2.279 eV per atom. The energy above the lowest structure with this stoichiometry comes out at 36 meV per atom.

Question: Which formula does entry 6 have?
Answer: Sn4SbAu2

Question: Which of these has the highest final energy?
Answer: Tl2CdI4